BaTaCd at its PBEsol-relaxed geometry, computed with meta-GGA SCAN.

Cell and atoms, written as POSCAR:
```
BaTaCd
1.0
5.303 0.000 0.000
-2.652 4.593 0.000
0.000 0.000 3.091
Ba Ta Cd
1 1 1
direct
0.000 0.000 0.000
0.667 0.333 0.500
0.333 0.667 0.500
```

Computed properties:
formation enthalpy at 0 K: 0.93 eV/atom
space group: P-6m2
offset from the most stable computed form: 255.5 meV per atom
Fermi-level density of states: 0.908 states/eV/atom